TlRhPb2 | Alexandria | PBE | relaxed; total magnetic moment = 0.00 Bohr magnetons per cell; DFT total energy = -4.223 eV/atom
1.0
-1.664 2.292 6.912
1.664 -2.292 6.912
1.664 2.292 -6.912
Tl Rh Pb
1 1 2
Cartesian
0.000 0.000 0.000
1.664 0.000 2.664
0.000 0.000 5.010
0.000 2.292 2.435